No. 1
Be4Te2Rh: relaxed, PBE.

Cell and atoms, written as extended XYZ:
```
7
Lattice="4.277 0.000 0.000 0.000 4.277 0.000 2.139 2.139 6.793" Properties=species:S:1:pos:R:3 pbc="T T T"
Be 4.277 4.277 2.182
Be 2.139 2.139 4.611
Be 0.000 2.139 0.000
Be 2.139 0.000 0.000
Te 4.277 4.277 4.620
Te 2.139 2.139 2.173
Rh 0.000 0.000 0.000
```

## Properties
Formation energy without anion corrections   0.404 eV/atom
Energy   -3.6727 eV per atom


No. 2
Be2TeRh2: relaxed, PBE.

Cell and atoms, written as extended XYZ:
```
5
Lattice="4.124 0.000 0.000 0.000 4.124 0.000 2.062 2.062 4.384" Properties=species:S:1:pos:R:3 pbc="T T T"
Be 2.062 2.062 1.314
Be 4.124 4.124 3.070
Te 0.000 0.000 0.000
Rh 4.124 2.062 2.192
Rh 2.062 4.124 2.192
```

## Properties
Energy above the lowest structure with this stoichiometry   131.9 meV per atom
Formation energy without anion corrections   -0.024 eV/atom
Energy   -5.0833 eV per atom


No. 3
BeTe2Rh: relaxed, PBE.

Cell and atoms, written as extended XYZ:
```
4
Lattice="3.715 0.000 0.000 0.000 4.826 0.000 0.000 1.149 4.693" Properties=species:S:1:pos:R:3 pbc="T T T"
Be 1.858 1.494 1.173
Te 0.000 5.961 4.682
Te 0.000 3.002 2.358
Rh 1.858 4.482 3.520
```

## Properties
Formation energy without anion corrections   0.244 eV/atom
Energy   -4.0963 eV per atom


No. 4
BeTeRh3: relaxed, PBE.

Cell and atoms, written as extended XYZ:
```
5
Lattice="-1.636 -2.353 3.833 1.242 -4.156 -2.021 4.323 0.304 2.032" Properties=species:S:1:pos:R:3 pbc="T T T"
Be 1.965 -3.103 1.922
Te 0.000 0.000 0.000
Rh 0.621 -2.078 -1.011
Rh 2.161 0.152 1.016
Rh -0.818 -1.177 1.916
```

## Properties
Energy above the lowest structure with this stoichiometry   1055.5 meV per atom
Formation energy without anion corrections   1.166 eV/atom
Energy   -4.6189 eV per atom


No. 5
Be3TeRh: relaxed, PBE.

Cell and atoms, written as extended XYZ:
```
5
Lattice="-3.407 1.315 2.258 1.411 -2.197 3.408 2.199 3.447 1.311" Properties=species:S:1:pos:R:3 pbc="T T T"
Be 0.706 -1.098 1.704
Be 1.099 1.723 0.655
Be -1.703 0.657 1.129
Te 0.102 1.282 3.489
Rh 0.000 0.000 0.000
```

## Properties
Energy above the lowest structure with this stoichiometry   0.0 meV per atom
Formation energy without anion corrections   0.398 eV/atom
Energy   -3.9363 eV per atom


No. 6
BeTeRh2: relaxed, PBE.

Cell and atoms, written as extended XYZ:
```
8
Lattice="-4.067 -0.346 -2.601 1.294 -4.438 -1.433 -4.380 -4.884 2.995" Properties=species:S:1:pos:R:3 pbc="T T T"
Be -1.387 -2.392 -2.017
Be -2.236 -5.857 -0.228
Te 0.000 0.000 0.000
Te -4.917 -3.811 -0.811
Rh -3.129 -1.962 -0.834
Rh -1.141 -4.068 -0.694
Rh -4.215 -5.835 0.611
Rh -5.822 -7.471 -1.161
```

## Properties
Energy above the lowest structure with this stoichiometry   407.8 meV per atom
Formation energy without anion corrections   0.112 eV/atom
Energy   -5.2803 eV per atom